(1)
VASP calculation (PBE-GGA) on a geometry-optimized LiZnSbI2 structure.

Summary:
- formation energy without anion corrections (eV per atom) = -0.006
- energy relative to the lowest polymorph listed for this composition (eV/atom) = 0.000
- SG = P4/mmm

Cell: 5.969 5.969 5.175 Å, 90.00 90.00 90.00°
Last column: magnetic moment on the atom in μB.
Fractional positions:
I 0.500 0.000 0.000  0.08
Sb 0.000 0.000 0.500  0.45
I 0.000 0.500 0.000  0.08
Zn 0.000 0.000 0.000  -0.01
Li 0.500 0.500 0.500  0.00

***

(2)
VASP calculation (PBE-GGA) on a geometry-optimized FeRe3 structure.

Summary:
- E_form (eV per atom) = 0.10
- SG = Pmmm

Cell: 2.724 3.843 6.057 Å, 90.00 63.24 90.00°
Last column: magnetic moment on the atom in μB.
Fractional positions:
Re 0.261 0.500 0.239  -0.09
Re 0.739 0.500 0.761  -0.09
Fe 0.000 0.000 0.000  1.57
Re 0.500 0.000 0.500  0.05

***

(3)
VASP calculation (PBE-GGA) on a geometry-optimized Cd2NiBr structure.

Summary:
- formation energy without anion corrections (eV per atom) = 0.019
- energy relative to the lowest polymorph listed for this composition (eV/atom) = 0.043
- SG = Cmmm

Cell: 3.282 3.282 7.606 Å, 90.00 90.00 90.74°
Fractional positions:
Cd 0.000 0.000 0.049
Ni 0.500 0.500 0.250
Cd 0.000 0.000 0.451
Br 0.500 0.500 0.750

***

Total magnetization: 1.378; 1.445; 0.000 (μB per cell)
Calculated volume: 36.9; 14.2; 20.5 (Å³/atom)